Record 1
# TaFeCuBr2 | Alexandria via LeMat-Bulk | PBE | relaxed
data_TaFeCuBr2
_space_group_name_H-M_alt 'P 4/m m m'
_space_group_IT_number 123
_space_group_name_Hall '-P 4 2'
_cell_length_a 4.541
_cell_length_b 4.541
_cell_length_c 4.669
_cell_angle_alpha 90.00
_cell_angle_beta 90.00
_cell_angle_gamma 90.00
loop_
_atom_site_label
_atom_site_type_symbol
_atom_site_fract_x
_atom_site_fract_y
_atom_site_fract_z
Ta1 Ta 0.000 0.000 0.000
Fe1 Fe 0.500 0.500 0.500
Cu1 Cu 0.500 0.500 0.000
Br1 Br 0.000 0.500 0.500
# Volume (Å³/atom): 19.3
# ΔE_f (raw) (eV per atom): 1.406
# Crystal system: tetragonal

---

Record 2
# Tl2FeCuBr6 | Alexandria via LeMat-Bulk | PBE | relaxed
data_Tl2FeCuBr6
_space_group_name_H-M_alt 'P 1 21/c 1'
_space_group_IT_number 14
_cell_length_a 7.658
_cell_length_b 7.641
_cell_length_c 12.395
_cell_angle_alpha 90.00
_cell_angle_beta 126.37
_cell_angle_gamma 90.00
loop_
_space_group_symop_operation_xyz
'x,y,z'
'-x,-y,-z'
'-x,y+1/2,-z+1/2'
'x,-y+1/2,z+1/2'
loop_
_atom_site_label
_atom_site_type_symbol
_atom_site_fract_x
_atom_site_fract_y
_atom_site_fract_z
Tl1 Tl 0.239 0.052 0.248
Fe1 Fe 0.000 0.000 0.500
Cu1 Cu 0.500 0.000 0.000
Br1 Br 0.167 0.238 0.964
Br2 Br 0.221 0.705 0.963
Br3 Br 0.338 0.008 0.766
# Volume (Å³/atom): 29.2
# ΔE_f (raw) (eV per atom): -0.537
# Crystal system: monoclinic

---

Record 3
# TlFeCuBr5 | Alexandria via LeMat-Bulk | PBE | relaxed
data_TlFeCuBr5
_space_group_name_H-M_alt 'C 1 2/c 1'
_space_group_IT_number 15
_cell_length_a 9.768
_cell_length_b 12.457
_cell_length_c 8.817
_cell_angle_alpha 90.00
_cell_angle_beta 107.56
_cell_angle_gamma 90.00
loop_
_space_group_symop_operation_xyz
'x,y,z'
'-x,-y,-z'
'-x,y,-z+1/2'
'x,-y,z+1/2'
'x+1/2,y+1/2,z'
'-x+1/2,-y+1/2,-z'
'-x+1/2,y+1/2,-z+1/2'
'x+1/2,-y+1/2,z+1/2'
loop_
_atom_site_label
_atom_site_type_symbol
_atom_site_fract_x
_atom_site_fract_y
_atom_site_fract_z
Tl1 Tl 0.000 0.156 0.250
Fe1 Fe 0.000 0.185 0.750
Cu1 Cu 0.000 0.500 0.000
Br1 Br 0.000 0.429 0.250
Br2 Br 0.123 0.300 0.620
Br3 Br 0.162 0.076 0.943
# Volume (Å³/atom): 32.0
# ΔE_f (raw) (eV per atom): -0.523
# Crystal system: monoclinic

---

Record 4
# TlFe2CuBr8 | Alexandria via LeMat-Bulk | PBE | relaxed
data_TlFe2CuBr8
_space_group_name_H-M_alt 'C 1 2/m 1'
_space_group_IT_number 12
_cell_length_a 10.915
_cell_length_b 7.680
_cell_length_c 9.659
_cell_angle_alpha 90.00
_cell_angle_beta 96.08
_cell_angle_gamma 90.00
loop_
_space_group_symop_operation_xyz
'x,y,z'
'-x,-y,-z'
'-x,y,-z'
'x,-y,z'
'x+1/2,y+1/2,z'
'-x+1/2,-y+1/2,-z'
'-x+1/2,y+1/2,-z'
'x+1/2,-y+1/2,z'
loop_
_atom_site_label
_atom_site_type_symbol
_atom_site_fract_x
_atom_site_fract_y
_atom_site_fract_z
Tl1 Tl 0.000 0.000 0.000
Fe1 Fe 0.123 0.500 0.281
Cu1 Cu 0.000 0.000 0.500
Br1 Br 0.005 0.250 0.707
Br2 Br 0.201 0.500 0.064
Br3 Br 0.231 0.000 0.518
# Volume (Å³/atom): 33.6
# ΔE_f (raw) (eV per atom): -0.504
# Crystal system: monoclinic

---

Record 5
# GaCu2Br | Alexandria via LeMat-Bulk | PBE | relaxed
data_GaCu2Br
_space_group_name_H-M_alt 'F m -3 m'
_space_group_IT_number 225
_space_group_name_Hall '-F 4 2 3'
_cell_length_a 6.578
_cell_length_b 6.578
_cell_length_c 6.578
_cell_angle_alpha 90.00
_cell_angle_beta 90.00
_cell_angle_gamma 90.00
loop_
_atom_site_label
_atom_site_type_symbol
_atom_site_fract_x
_atom_site_fract_y
_atom_site_fract_z
Ga1 Ga 0.000 0.000 0.000
Cu1 Cu 0.250 0.250 0.250
Br1 Br 0.000 0.000 0.500
# E above lowest polymorph (eV per atom): 0.2672
# Volume (Å³/atom): 17.8
# ΔE_f (raw) (eV per atom): 0.455
# Crystal system: cubic

---

Record 6
# Ga3CuBr | Alexandria via LeMat-Bulk | PBE | relaxed
data_Ga3CuBr
_space_group_name_H-M_alt 'P m -3 m'
_space_group_IT_number 221
_space_group_name_Hall '-P 4 2 3'
_cell_length_a 4.828
_cell_length_b 4.828
_cell_length_c 4.828
_cell_angle_alpha 90.00
_cell_angle_beta 90.00
_cell_angle_gamma 90.00
loop_
_atom_site_label
_atom_site_type_symbol
_atom_site_fract_x
_atom_site_fract_y
_atom_site_fract_z
Ga1 Ga 0.000 0.000 0.500
Cu1 Cu 0.000 0.000 0.000
Br1 Br 0.500 0.500 0.500
# E above lowest polymorph (eV per atom): 0.0000
# Volume (Å³/atom): 22.5
# ΔE_f (raw) (eV per atom): -0.103
# Crystal system: cubic

---

Record 7
# GaCu2Br | Alexandria via LeMat-Bulk | PBE | relaxed
data_GaCu2Br
_space_group_name_H-M_alt 'I -4 2 d'
_space_group_IT_number 122
_space_group_name_Hall 'I -4 2bw'
_cell_length_a 6.343
_cell_length_b 6.343
_cell_length_c 8.266
_cell_angle_alpha 90.00
_cell_angle_beta 90.00
_cell_angle_gamma 90.00
loop_
_atom_site_label
_atom_site_type_symbol
_atom_site_fract_x
_atom_site_fract_y
_atom_site_fract_z
Ga1 Ga 0.000 0.000 0.000
Cu1 Cu 0.239 0.250 0.125
Br1 Br 0.000 0.000 0.500
# E above lowest polymorph (eV per atom): 0.0000
# Volume (Å³/atom): 20.8
# ΔE_f (raw) (eV per atom): 0.187
# Crystal system: tetragonal

---

Record 8
# Ga2CuBr | Alexandria via LeMat-Bulk | PBE | relaxed
data_Ga2CuBr
_space_group_name_H-M_alt 'F m -3 m'
_space_group_IT_number 225
_space_group_name_Hall '-F 4 2 3'
_cell_length_a 7.077
_cell_length_b 7.077
_cell_length_c 7.077
_cell_angle_alpha 90.00
_cell_angle_beta 90.00
_cell_angle_gamma 90.00
loop_
_atom_site_label
_atom_site_type_symbol
_atom_site_fract_x
_atom_site_fract_y
_atom_site_fract_z
Ga1 Ga 0.250 0.250 0.250
Cu1 Cu 0.000 0.000 0.000
Br1 Br 0.000 0.000 0.500
# E above lowest polymorph (eV per atom): 0.1961
# Volume (Å³/atom): 22.2
# ΔE_f (raw) (eV per atom): 0.228
# Crystal system: cubic